Version w
KPb2 after structural relaxation, computed with PBE-GGA.

Output
The calculation puts the density of states at the Fermi level at 0.587 states/eV per atom. As for the crystal system: monoclinic. The total magnetic moment comes out at 0.000 Bohr magnetons per cell.

abc: 13.747 3.635 8.966
angles: 90.00 92.21 90.00
Space group Cm (No. 8)
Inequivalent atoms, fractional coordinates:
1 K 0.000 0.000 0.000 [2 per cell]
2 K 0.248 0.500 0.319 [2 per cell]
3 Pb 0.097 0.000 0.623 [2 per cell]
4 Pb 0.236 0.500 0.877 [2 per cell]
5 Pb 0.384 0.000 0.667 [2 per cell]
6 Pb 0.484 0.000 0.351 [2 per cell]

Version x
KPb2 after structural relaxation, computed with PBE-GGA.

Output
The calculation puts the density of states at the Fermi level at 0.335 states/eV per atom. As for the crystal system: trigonal. The total magnetic moment comes out at 0.000 Bohr magnetons per cell.

abc: 5.6914 5.6914 3.6257
angles: 90.00 90.00 120.00
Space group P-3m1 (No. 164)
Inequivalent atoms, fractional coordinates:
1 K 0.0000 0.0000 0.0000 [1 per cell]
2 Pb 0.3333 0.6667 0.4256 [2 per cell]

version x wins, 0.056 eV/atom ahead of the next structure.